(1)
# CaI, relaxed, DFT PBE
# ΔE_f (raw) in meV/atom: -1049
# DOS(E_F) in states/eV/cell: 7.44
# ρ in kg/m3: 3587
data_CaI
_cell_length_a 4.225
_cell_length_b 10.587
_cell_length_c 10.368
_cell_angle_alpha 90.00
_cell_angle_beta 90.00
_cell_angle_gamma 90.00
_space_group_name_H-M_alt 'A m m 2'
_space_group_IT_number 38
loop_
_space_group_symop_operation_xyz
'x,y,z'
'-x,-y,z'
'-x,y,z'
'x,-y,z'
'x,y+1/2,z+1/2'
'-x,-y+1/2,z+1/2'
'-x,y+1/2,z+1/2'
'x,-y+1/2,z+1/2'
loop_
_atom_site_label
_atom_site_type_symbol
_atom_site_fract_x
_atom_site_fract_y
_atom_site_fract_z
_atom_site_occupancy
Ca1 Ca 0.000 0.000 0.000 1
Ca2 Ca 0.500 0.187 0.239 1
I1 I 0.000 0.203 0.484 1
I2 I 0.500 0.000 0.767 1

=====

(2)
# CaI, relaxed, DFT PBE
# ΔE_f (raw) in meV/atom: -1049
# DOS(E_F) in states/eV/cell: 5.87
# ρ in kg/m3: 3237
data_CaI
_cell_length_a 4.291
_cell_length_b 15.387
_cell_length_c 7.785
_cell_angle_alpha 90.00
_cell_angle_beta 90.00
_cell_angle_gamma 90.00
_space_group_name_H-M_alt 'P m m n'
_space_group_IT_number 59
loop_
_space_group_symop_operation_xyz
'x,y,z'
'-x,-y,-z'
'-x+1/2,-y+1/2,z'
'x+1/2,y+1/2,-z'
'x+1/2,-y,-z'
'-x+1/2,y,z'
'-x,y+1/2,-z'
'x,-y+1/2,z'
loop_
_atom_site_label
_atom_site_type_symbol
_atom_site_fract_x
_atom_site_fract_y
_atom_site_fract_z
_atom_site_occupancy
Ca1 Ca 0.250 0.136 0.010 1
Ca2 Ca 0.250 0.750 0.322 1
I1 I 0.250 0.250 0.363 1
I2 I 0.250 0.538 0.237 1

=====

(3)
# CaI4, relaxed, DFT PBE
# ΔE_f (raw) in meV/atom: -583
# DOS(E_F) in states/eV/cell: 7.33
# ρ in kg/m3: 3929
data_CaI4
_cell_length_a 6.140
_cell_length_b 6.140
_cell_length_c 6.140
_cell_angle_alpha 90.00
_cell_angle_beta 90.00
_cell_angle_gamma 90.00
_space_group_name_H-M_alt 'P m -3 m'
_space_group_IT_number 221
_space_group_name_Hall '-P 4 2 3'
loop_
_atom_site_label
_atom_site_type_symbol
_atom_site_fract_x
_atom_site_fract_y
_atom_site_fract_z
_atom_site_occupancy
Ca1 Ca 0.000 0.000 0.000 1
I1 I 0.000 0.000 0.500 1
I2 I 0.500 0.500 0.500 1

=====

(4)
# CaI, relaxed, DFT PBE
# ΔE_f (raw) in meV/atom: -1085
# DOS(E_F) in states/eV/cell: 2.60
# ρ in kg/m3: 3073
data_CaI
_cell_length_a 7.516
_cell_length_b 4.305
_cell_length_c 11.156
_cell_angle_alpha 90.00
_cell_angle_beta 90.91
_cell_angle_gamma 90.00
_space_group_name_H-M_alt 'C 1 m 1'
_space_group_IT_number 8
loop_
_space_group_symop_operation_xyz
'x,y,z'
'x,-y,z'
'x+1/2,y+1/2,z'
'x+1/2,-y+1/2,z'
loop_
_atom_site_label
_atom_site_type_symbol
_atom_site_fract_x
_atom_site_fract_y
_atom_site_fract_z
_atom_site_occupancy
Ca1 Ca 0.000 0.000 0.000 1
Ca2 Ca 0.161 0.500 0.712 1
I1 I 0.172 0.500 0.170 1
I2 I 0.326 0.000 0.541 1

=====

(5)
# CaI, relaxed, DFT PBE
# ΔE_f (raw) in meV/atom: -1029
# DOS(E_F) in states/eV/cell: 14.47
# ρ in kg/m3: 3248
data_CaI
_cell_length_a 12.494
_cell_length_b 12.494
_cell_length_c 4.376
_cell_angle_alpha 90.00
_cell_angle_beta 90.00
_cell_angle_gamma 90.00
_space_group_name_H-M_alt 'I 4/m'
_space_group_IT_number 87
_space_group_name_Hall '-I 4'
loop_
_atom_site_label
_atom_site_type_symbol
_atom_site_fract_x
_atom_site_fract_y
_atom_site_fract_z
_atom_site_occupancy
Ca1 Ca 0.103 0.646 0.000 1
I1 I 0.111 0.208 0.000 1

=====

(6)
# CaI2, relaxed, DFT PBE
# ΔE_f (raw) in meV/atom: -1624
# DOS(E_F) in states/eV/cell: 0.00
# ρ in kg/m3: 3536
data_CaI2
_cell_length_a 4.552
_cell_length_b 7.872
_cell_length_c 15.408
_cell_angle_alpha 90.00
_cell_angle_beta 90.00
_cell_angle_gamma 90.00
_space_group_name_H-M_alt 'C m c e'
_space_group_IT_number 64
_space_group_name_Hall '-C 2ac 2'
loop_
_atom_site_label
_atom_site_type_symbol
_atom_site_fract_x
_atom_site_fract_y
_atom_site_fract_z
_atom_site_occupancy
Ca1 Ca 0.000 0.000 0.000 1
I1 I 0.000 0.166 0.386 1

=====

(7)
# CaI, relaxed, DFT PBE
# ΔE_f (raw) in meV/atom: -1068
# DOS(E_F) in states/eV/cell: 1.78
# ρ in kg/m3: 3242
data_CaI
_cell_length_a 3.983
_cell_length_b 3.985
_cell_length_c 10.912
_cell_angle_alpha 90.00
_cell_angle_beta 99.01
_cell_angle_gamma 90.00
_space_group_name_H-M_alt 'P 1 21/m 1'
_space_group_IT_number 11
loop_
_space_group_symop_operation_xyz
'x,y,z'
'-x,-y,-z'
'-x,y+1/2,-z'
'x,-y+1/2,z'
loop_
_atom_site_label
_atom_site_type_symbol
_atom_site_fract_x
_atom_site_fract_y
_atom_site_fract_z
_atom_site_occupancy
Ca1 Ca 0.188 0.250 0.357 1
I1 I 0.379 0.250 0.799 1

=====

(8)
# CaInI3, relaxed, DFT PBE
# ΔE_f (raw) in meV/atom: -1143
# DOS(E_F) in states/eV/cell: 0.00
# ρ in kg/m3: 4023
data_CaInI3
_cell_length_a 17.252
_cell_length_b 4.604
_cell_length_c 11.138
_cell_angle_alpha 90.00
_cell_angle_beta 91.26
_cell_angle_gamma 90.00
_space_group_name_H-M_alt 'C 1 2/m 1'
_space_group_IT_number 12
loop_
_space_group_symop_operation_xyz
'x,y,z'
'-x,-y,-z'
'-x,y,-z'
'x,-y,z'
'x+1/2,y+1/2,z'
'-x+1/2,-y+1/2,-z'
'-x+1/2,y+1/2,-z'
'x+1/2,-y+1/2,z'
loop_
_atom_site_label
_atom_site_type_symbol
_atom_site_fract_x
_atom_site_fract_y
_atom_site_fract_z
_atom_site_occupancy
Ca1 Ca 0.198 0.000 0.342 1
In1 In 0.104 0.500 0.993 1
I1 I 0.045 0.000 0.189 1
I2 I 0.142 0.500 0.514 1
I3 I 0.237 0.000 0.827 1